No. 1
# HgAu meta-GGA SCAN single point on PBEsol structure
# Theoretical density ... 17.52 g/cm³
# Energy relative to the elements ... 0.3 eV per formula unit
# DOS at the Fermi energy ... 0.2592 states/eV/atom
data_HgAu
_cell_length_a 3.0111
_cell_length_b 3.0111
_cell_length_c 9.5973
_cell_angle_alpha 90.00
_cell_angle_beta 90.00
_cell_angle_gamma 120.00
_symmetry_space_group_name_H-M 'P 63/m m c'
_symmetry_Int_Tables_number 194
_symmetry_space_group_name_Hall '-P 6c 2c'
loop_
_atom_site_label
_atom_site_type_symbol
_atom_site_fract_x
_atom_site_fract_y
_atom_site_fract_z
Hg1 Hg 0.0000 0.0000 0.0000
Au1 Au 0.3333 0.6667 0.2500

=====

No. 2
# ErSi2Rh3 meta-GGA SCAN single point on PBEsol structure
# Theoretical density ... 9.53 g/cm³
# E_form (uncorrected) ... -1.15 eV/atom
# DOS at the Fermi energy ... 0.2241 states/eV/atom
data_ErSi2Rh3
_cell_length_a 5.4157
_cell_length_b 5.4157
_cell_length_c 3.6524
_cell_angle_alpha 90.00
_cell_angle_beta 90.00
_cell_angle_gamma 120.00
_symmetry_space_group_name_H-M 'P 6/m m m'
_symmetry_Int_Tables_number 191
_symmetry_space_group_name_Hall '-P 6 2'
loop_
_atom_site_label
_atom_site_type_symbol
_atom_site_fract_x
_atom_site_fract_y
_atom_site_fract_z
Er1 Er 0.0000 0.0000 0.0000
Si1 Si 0.3333 0.6667 0.0000
Rh1 Rh 0.0000 0.5000 0.5000

=====

No. 3
# NaTi8Cu6BiO24 meta-GGA SCAN single point on PBEsol structure
# Theoretical density ... 5.70 g/cm³
# E_form (uncorrected) ... -2.39 eV/atom
data_NaTi8Cu6BiO24
_cell_length_a 7.379
_cell_length_b 7.379
_cell_length_c 7.379
_cell_angle_alpha 90.00
_cell_angle_beta 90.00
_cell_angle_gamma 90.00
_symmetry_space_group_name_H-M 'P m -3'
_symmetry_Int_Tables_number 200
_symmetry_space_group_name_Hall '-P 2 2 3'
loop_
_atom_site_label
_atom_site_type_symbol
_atom_site_fract_x
_atom_site_fract_y
_atom_site_fract_z
Na1 Na 0.000 0.000 0.000
Ti1 Ti 0.246 0.246 0.246
Cu1 Cu 0.000 0.000 0.500
Cu2 Cu 0.000 0.500 0.500
Bi1 Bi 0.500 0.500 0.500
O1 O 0.000 0.307 0.178
O2 O 0.197 0.323 0.500